1.
VASP calculation (PBE-GGA) on a relaxed structure of PrSmAuSe.

Cell: 4.251 4.251 6.164 Å, 90.00 90.00 90.00°
Space group P4/mmm (No. 123)
Symmetry-distinct sites (fractional):
Pr1 0.000 0.000 0.000
Sm1 0.500 0.500 0.500
Au1 0.500 0.500 0.000
Se1 0.000 0.000 0.500

## Properties
ΔE_f (raw), meV per atom: -1236
Electronic total energy, eV/atom: -5.301
ρ, g cm⁻³: 8.45

---

2.
VASP calculation (PBE-GGA) on a relaxed structure of Pr8Te4AuSe3.

Cell: 15.184 8.767 8.903 Å, 90.00 124.64 90.00°
Space group C2/m (No. 12)
Symmetry-distinct sites (fractional):
Pr1 0.007 0.250 0.271
Pr2 0.240 0.000 0.721
Pr3 0.243 0.500 0.728
Te1 0.000 0.000 0.000
Te2 0.000 0.500 0.000
Te3 0.250 0.250 0.000
Au1 0.000 0.500 0.500
Se1 0.000 0.000 0.500
Se2 0.250 0.250 0.500

## Properties
ΔE_f (raw), meV per atom: -1531
Electronic total energy, eV/atom: -5.564
ρ, g cm⁻³: 7.05

---

3.
VASP calculation (PBE-GGA) on a relaxed structure of Pr4Te2AuSe.

Cell: 7.723 4.336 7.763 Å, 90.00 108.79 90.00°
Space group P2/m (No. 10)
Symmetry-distinct sites (fractional):
Pr1 0.240 0.000 0.232
Pr2 0.259 0.500 0.770
Te1 0.000 0.000 0.500
Te2 0.500 0.500 0.500
Au1 0.500 0.000 0.000
Se1 0.000 0.500 0.000

## Properties
ΔE_f (raw), meV per atom: -1380
Electronic total energy, eV/atom: -5.401
ρ, g cm⁻³: 7.39

---

4.
VASP calculation (PBE-GGA) on a relaxed structure of Pr6TeAu2Se3.

Cell: 19.106 4.277 8.861 Å, 90.00 105.08 90.00°
Space group C2/m (No. 12)
Symmetry-distinct sites (fractional):
Pr1 0.000 0.000 0.236
Pr2 0.164 0.500 0.089
Pr3 0.172 0.500 0.587
Te1 0.000 0.500 0.500
Au1 0.170 0.000 0.839
Se1 0.000 0.500 0.000
Se2 0.163 0.000 0.335

## Properties
ΔE_f (raw), meV per atom: -1393
Electronic total energy, eV/atom: -5.462
ρ, g cm⁻³: 7.62

---

5.
VASP calculation (PBE-GGA) on a relaxed structure of Pr6Te3Au2Se.

Cell: 19.544 4.352 9.053 Å, 90.00 105.13 90.00°
Space group C2/m (No. 12)
Symmetry-distinct sites (fractional):
Pr1 0.003 0.000 0.238
Pr2 0.162 0.500 0.096
Pr3 0.168 0.500 0.577
Te1 0.000 0.500 0.500
Te2 0.166 0.000 0.838
Au1 0.167 0.000 0.338
Se1 0.000 0.500 0.000

## Properties
ΔE_f (raw), meV per atom: -1269
Electronic total energy, eV/atom: -5.281
ρ, g cm⁻³: 7.60

---

6.
VASP calculation (PBE-GGA) on a relaxed structure of Pr2TlAuSe4.

Cell: 4.291 14.474 15.042 Å, 90.00 90.00 90.00°
Space group Cmcm (No. 63)
Symmetry-distinct sites (fractional):
Pr1 0.000 0.132 0.069
Tl1 0.000 0.376 0.250
Au1 0.000 0.346 0.750
Se1 0.000 0.047 0.250
Se2 0.000 0.232 0.609
Se3 0.000 0.500 0.000

## Properties
ΔE_f (raw), meV per atom: -1263
Electronic total energy, eV/atom: -4.905
ρ, g cm⁻³: 7.10

---

7.
VASP calculation (PBE-GGA) on a relaxed structure of Pr4Si3Au.

Cell: 4.083 4.431 11.318 Å, 90.00 90.00 90.00°
Space group Pmm2 (No. 25)
Symmetry-distinct sites (fractional):
Pr1 0.000 0.000 0.000
Pr2 0.000 0.500 0.493
Pr3 0.500 0.000 0.714
Pr4 0.500 0.500 0.216
Si1 0.000 0.000 0.286
Si2 0.500 0.000 0.422
Si3 0.500 0.500 0.936
Au1 0.000 0.500 0.785

## Properties
ΔE_f (raw), meV per atom: -706
Electronic total energy, eV/atom: -5.539
ρ, g cm⁻³: 6.85

---

8.
VASP calculation (PBE-GGA) on a relaxed structure of Pr3Si4Au2.

Cell: 11.259 4.260 8.461 Å, 90.00 100.16 90.00°
Space group C2/m (No. 12)
Symmetry-distinct sites (fractional):
Pr1 0.000 0.000 0.000
Pr2 0.163 0.500 0.671
Si1 0.054 0.000 0.392
Si2 0.223 0.500 0.054
Au1 0.113 0.500 0.280

## Properties
ΔE_f (raw), meV per atom: -803
Electronic total energy, eV/atom: -5.534
ρ, g cm⁻³: 7.72

---

9.
VASP calculation (PBE-GGA) on a relaxed structure of PrSiAu3.

Cell: 6.353 6.366 6.078 Å, 90.00 121.11 90.00°
Space group Cm (No. 8)
Symmetry-distinct sites (fractional):
Pr1 0.000 0.000 0.000
Si1 0.369 0.000 0.726
Au1 0.014 0.245 0.523
Au2 0.090 0.500 0.182

## Properties
ΔE_f (raw), meV per atom: -585
Electronic total energy, eV/atom: -4.591
ρ, g cm⁻³: 11.99

---

10.
VASP calculation (PBE-GGA) on a relaxed structure of PrSi2Au6.

Cell: 4.416 4.416 8.760 Å, 90.00 90.00 90.00°
Space group P4/mmm (No. 123)
Symmetry-distinct sites (fractional):
Pr1 0.000 0.000 0.000
Si1 0.500 0.500 0.136
Au1 0.000 0.000 0.500
Au2 0.000 0.500 0.274
Au3 0.500 0.500 0.500

## Properties
ΔE_f (raw), meV per atom: -355
Electronic total energy, eV/atom: -4.276
ρ, g cm⁻³: 13.40

---

11.
VASP calculation (PBE-GGA) on a relaxed structure of Pr3Si4Au7.

Cell: 16.347 4.399 9.639 Å, 90.00 125.81 90.00°
Space group C2/m (No. 12)
Symmetry-distinct sites (fractional):
Pr1 0.000 0.000 0.000
Pr2 0.187 0.500 0.688
Si1 0.122 0.000 0.840
Si2 0.164 0.500 0.282
Au1 0.000 0.000 0.500
Au2 0.008 0.500 0.287
Au3 0.157 0.000 0.413
Au4 0.178 0.500 0.033

## Properties
ΔE_f (raw), meV per atom: -589
Electronic total energy, eV/atom: -4.801
ρ, g cm⁻³: 11.31

---

12.
VASP calculation (PBE-GGA) on a relaxed structure of Pr5Si2Au2.

Cell: 15.904 7.899 7.855 Å, 90.00 90.00 90.00°
Space group Cmce (No. 64)
Symmetry-distinct sites (fractional):
Pr1 0.000 0.000 0.000
Pr2 0.134 0.179 0.327
Si1 0.000 0.114 0.614
Au1 0.208 0.000 0.000

## Properties
ΔE_f (raw), meV per atom: -664
Electronic total energy, eV/atom: -5.253
ρ, g cm⁻³: 7.77

---

One value per record, in order, for magnetization: 0.000; 0.000; 0.000; 0.000; 0.000; 0.000; 0.234; 0.000; 0.000; 0.000; 0.000; 0.000 μB per formula unit.